[1]
Entry from the Alexandria database: crystalline AlGe2C at its relaxed geometry (GGA-PBE).

Results
M_tot (μB per atom): 0.000
Fermi-level density of states (states/eV per cell): 11.19
E_tot (eV per atom): -4.192

The structure in CIF format:
```
data_AlGe2C
_space_group_name_H-M_alt 'F m -3 m'
_space_group_IT_number 225
_space_group_name_Hall '-F 4 2 3'
_cell_length_a 6.2815
_cell_length_b 6.2815
_cell_length_c 6.2815
_cell_angle_alpha 90.00
_cell_angle_beta 90.00
_cell_angle_gamma 90.00
loop_
_atom_site_label
_atom_site_fract_x
_atom_site_fract_y
_atom_site_fract_z
Al1 0.0000 0.0000 0.0000
Ge1 0.2500 0.2500 0.2500
C1 0.0000 0.0000 0.5000
```

[2]
Entry from the Alexandria database: crystalline La2AlGeC at its relaxed geometry (GGA-PBE).

Results
M_tot (μB per atom): 0.000
Fermi-level density of states (states/eV per cell): 2.59
E_tot (eV per atom): -5.869

The structure in CIF format:
```
data_La2AlGeC
_space_group_name_H-M_alt 'P 4/m m m'
_space_group_IT_number 123
_space_group_name_Hall '-P 4 2'
_cell_length_a 5.3594
_cell_length_b 5.3594
_cell_length_c 3.9220
_cell_angle_alpha 90.00
_cell_angle_beta 90.00
_cell_angle_gamma 90.00
loop_
_atom_site_label
_atom_site_fract_x
_atom_site_fract_y
_atom_site_fract_z
La1 0.0000 0.5000 0.0000
Al1 0.0000 0.0000 0.5000
Ge1 0.5000 0.5000 0.5000
C1 0.0000 0.0000 0.0000
```

[3]
Entry from the Alexandria database: crystalline LiAlGe2C at its relaxed geometry (GGA-PBE).

Results
M_tot (μB per atom): 0.000
Fermi-level density of states (states/eV per cell): 2.39
E_tot (eV per atom): -4.214

The structure in CIF format:
```
data_LiAlGe2C
_space_group_name_H-M_alt 'P 4/m m m'
_space_group_IT_number 123
_space_group_name_Hall '-P 4 2'
_cell_length_a 4.7046
_cell_length_b 4.7046
_cell_length_c 3.7465
_cell_angle_alpha 90.00
_cell_angle_beta 90.00
_cell_angle_gamma 90.00
loop_
_atom_site_label
_atom_site_fract_x
_atom_site_fract_y
_atom_site_fract_z
Li1 0.0000 0.0000 0.0000
Al1 0.5000 0.5000 0.0000
Ge1 0.0000 0.5000 0.5000
C1 0.5000 0.5000 0.5000
```

[4]
Entry from the Alexandria database: crystalline AlNiGeC2 at its relaxed geometry (GGA-PBE).

Results
M_tot (μB per atom): 0.000
Fermi-level density of states (states/eV per cell): 4.15
E_tot (eV per atom): -4.379

The structure in CIF format:
```
data_AlNiGeC2
_space_group_name_H-M_alt 'P 4/m m m'
_space_group_IT_number 123
_space_group_name_Hall '-P 4 2'
_cell_length_a 3.7171
_cell_length_b 3.7171
_cell_length_c 5.8695
_cell_angle_alpha 90.00
_cell_angle_beta 90.00
_cell_angle_gamma 90.00
loop_
_atom_site_label
_atom_site_fract_x
_atom_site_fract_y
_atom_site_fract_z
Al1 0.0000 0.0000 0.0000
Ni1 0.5000 0.5000 0.0000
Ge1 0.0000 0.0000 0.5000
C1 0.0000 0.5000 0.5000
```

[5]
Entry from the Alexandria database: crystalline AlGeOs2C at its relaxed geometry (GGA-PBE).

Results
M_tot (μB per atom): 0.000
Fermi-level density of states (states/eV per cell): 3.40
E_tot (eV per atom): -6.205

The structure in CIF format:
```
data_AlGeOs2C
_space_group_name_H-M_alt 'P 4/m m m'
_space_group_IT_number 123
_space_group_name_Hall '-P 4 2'
_cell_length_a 4.6154
_cell_length_b 4.6154
_cell_length_c 3.5913
_cell_angle_alpha 90.00
_cell_angle_beta 90.00
_cell_angle_gamma 90.00
loop_
_atom_site_label
_atom_site_fract_x
_atom_site_fract_y
_atom_site_fract_z
Al1 0.0000 0.0000 0.0000
Ge1 0.5000 0.5000 0.5000
Os1 0.0000 0.5000 0.0000
C1 0.0000 0.0000 0.5000
```

[6]
Entry from the Alexandria database: crystalline Pu2Al2Ge2C at its relaxed geometry (GGA-PBE).

Results
M_tot (μB per atom): 1.404
Fermi-level density of states (states/eV per cell): 34.74
E_tot (eV per atom): -8.105

The structure in CIF format:
```
data_Pu2Al2Ge2C
_space_group_name_H-M_alt 'I 4/m m m'
_space_group_IT_number 139
_space_group_name_Hall '-I 4 2'
_cell_length_a 4.1865
_cell_length_b 4.1865
_cell_length_c 14.6536
_cell_angle_alpha 90.00
_cell_angle_beta 90.00
_cell_angle_gamma 90.00
loop_
_atom_site_label
_atom_site_fract_x
_atom_site_fract_y
_atom_site_fract_z
Pu1 0.0000 0.0000 0.1599
Al1 0.0000 0.5000 0.0000
Ge1 0.0000 0.0000 0.3711
C1 0.0000 0.0000 0.0000
```

[7]
Entry from the Alexandria database: crystalline Rb2AlGeC at its relaxed geometry (GGA-PBE).

Results
M_tot (μB per atom): 0.552
Fermi-level density of states (states/eV per cell): 1.69
E_tot (eV per atom): -2.546

The structure in CIF format:
```
data_Rb2AlGeC
_space_group_name_H-M_alt 'P 4/m m m'
_space_group_IT_number 123
_space_group_name_Hall '-P 4 2'
_cell_length_a 6.9665
_cell_length_b 6.9665
_cell_length_c 4.5841
_cell_angle_alpha 90.00
_cell_angle_beta 90.00
_cell_angle_gamma 90.00
loop_
_atom_site_label
_atom_site_fract_x
_atom_site_fract_y
_atom_site_fract_z
Rb1 0.0000 0.5000 0.0000
Al1 0.0000 0.0000 0.0000
Ge1 0.0000 0.0000 0.5000
C1 0.5000 0.5000 0.5000
```

[8]
Entry from the Alexandria database: crystalline Sc2Al2Ge2C at its relaxed geometry (GGA-PBE).

Results
M_tot (μB per atom): 0.000
Fermi-level density of states (states/eV per cell): 2.81
E_tot (eV per atom): -5.998

The structure in CIF format:
```
data_Sc2Al2Ge2C
_space_group_name_H-M_alt 'I 4/m m m'
_space_group_IT_number 139
_space_group_name_Hall '-I 4 2'
_cell_length_a 4.0313
_cell_length_b 4.0313
_cell_length_c 14.1155
_cell_angle_alpha 90.00
_cell_angle_beta 90.00
_cell_angle_gamma 90.00
loop_
_atom_site_label
_atom_site_fract_x
_atom_site_fract_y
_atom_site_fract_z
Sc1 0.0000 0.0000 0.1596
Al1 0.0000 0.5000 0.0000
Ge1 0.0000 0.0000 0.3609
C1 0.0000 0.0000 0.0000
```

[9]
Entry from the Alexandria database: crystalline Sc2AlGeC at its relaxed geometry (GGA-PBE).

Results
M_tot (μB per atom): 0.000
Fermi-level density of states (states/eV per cell): 2.80
E_tot (eV per atom): -6.596

The structure in CIF format:
```
data_Sc2AlGeC
_space_group_name_H-M_alt 'P 4/m m m'
_space_group_IT_number 123
_space_group_name_Hall '-P 4 2'
_cell_length_a 4.5309
_cell_length_b 4.5309
_cell_length_c 3.9377
_cell_angle_alpha 90.00
_cell_angle_beta 90.00
_cell_angle_gamma 90.00
loop_
_atom_site_label
_atom_site_fract_x
_atom_site_fract_y
_atom_site_fract_z
Sc1 0.0000 0.5000 0.0000
Al1 0.0000 0.0000 0.5000
Ge1 0.5000 0.5000 0.5000
C1 0.0000 0.0000 0.0000
```

[10]
Entry from the Alexandria database: crystalline Sm2Al2Ge2C at its relaxed geometry (GGA-PBE).

Results
M_tot (μB per atom): 0.000
Fermi-level density of states (states/eV per cell): 3.35
E_tot (eV per atom): -5.531

The structure in CIF format:
```
data_Sm2Al2Ge2C
_space_group_name_H-M_alt 'I 4/m m m'
_space_group_IT_number 139
_space_group_name_Hall '-I 4 2'
_cell_length_a 4.2030
_cell_length_b 4.2030
_cell_length_c 15.2264
_cell_angle_alpha 90.00
_cell_angle_beta 90.00
_cell_angle_gamma 90.00
loop_
_atom_site_label
_atom_site_fract_x
_atom_site_fract_y
_atom_site_fract_z
Sm1 0.0000 0.0000 0.1600
Al1 0.0000 0.5000 0.0000
Ge1 0.0000 0.0000 0.3713
C1 0.0000 0.0000 0.0000
```

[11]
Entry from the Alexandria database: crystalline Tb2Al2Ge2C at its relaxed geometry (GGA-PBE).

Results
M_tot (μB per atom): 0.000
Fermi-level density of states (states/eV per cell): 2.77
E_tot (eV per atom): -5.535

The structure in CIF format:
```
data_Tb2Al2Ge2C
_space_group_name_H-M_alt 'I 4/m m m'
_space_group_IT_number 139
_space_group_name_Hall '-I 4 2'
_cell_length_a 4.1567
_cell_length_b 4.1567
_cell_length_c 14.9622
_cell_angle_alpha 90.00
_cell_angle_beta 90.00
_cell_angle_gamma 90.00
loop_
_atom_site_label
_atom_site_fract_x
_atom_site_fract_y
_atom_site_fract_z
Tb1 0.0000 0.0000 0.1604
Al1 0.0000 0.5000 0.0000
Ge1 0.0000 0.0000 0.3686
C1 0.0000 0.0000 0.0000
```

[12]
Entry from the Alexandria database: crystalline Y2AlGeC at its relaxed geometry (GGA-PBE).

Results
M_tot (μB per atom): 0.000
Fermi-level density of states (states/eV per cell): 2.52
E_tot (eV per atom): -6.575

The structure in CIF format:
```
data_Y2AlGeC
_space_group_name_H-M_alt 'P 4/m m m'
_space_group_IT_number 123
_space_group_name_Hall '-P 4 2'
_cell_length_a 4.9464
_cell_length_b 4.9464
_cell_length_c 3.9522
_cell_angle_alpha 90.00
_cell_angle_beta 90.00
_cell_angle_gamma 90.00
loop_
_atom_site_label
_atom_site_fract_x
_atom_site_fract_y
_atom_site_fract_z
Y1 0.0000 0.5000 0.0000
Al1 0.0000 0.0000 0.5000
Ge1 0.5000 0.5000 0.5000
C1 0.0000 0.0000 0.0000
```

[13]
Entry from the Alexandria database: crystalline KAlH2CO5 at its relaxed geometry (GGA-PBE).

Results
M_tot (μB per atom): 0.000
Fermi-level density of states (states/eV per cell): 0.00
E_tot (eV per atom): -6.415

The structure in CIF format:
```
data_KAlH2CO5
_space_group_name_H-M_alt 'C m c m'
_space_group_IT_number 63
_space_group_name_Hall '-C 2c 2'
_cell_length_a 6.5149
_cell_length_b 11.8783
_cell_length_c 5.7146
_cell_angle_alpha 90.00
_cell_angle_beta 90.00
_cell_angle_gamma 90.00
loop_
_atom_site_label
_atom_site_fract_x
_atom_site_fract_y
_atom_site_fract_z
K1 0.0000 0.1541 0.2500
Al1 0.0000 0.5000 0.0000
H1 0.2166 0.0805 0.7500
C1 0.0000 0.2847 0.7500
O1 0.0000 0.1764 0.7500
O2 0.0000 0.3388 0.5510
O3 0.1939 0.4865 0.2500
```

[14]
Entry from the Alexandria database: crystalline AlH10C3N at its relaxed geometry (GGA-PBE).

Results
M_tot (μB per atom): 0.000
Fermi-level density of states (states/eV per cell): 0.00
E_tot (eV per atom): -5.077

The structure in CIF format:
```
data_AlH10C3N
_space_group_name_H-M_alt 'C 1 2/c 1'
_space_group_IT_number 15
_cell_length_a 10.2728
_cell_length_b 11.5760
_cell_length_c 10.5967
_cell_angle_alpha 90.00
_cell_angle_beta 111.99
_cell_angle_gamma 90.00
loop_
_space_group_symop_operation_xyz
'x,y,z'
'-x,-y,-z'
'-x,y,-z+1/2'
'x,-y,z+1/2'
'x+1/2,y+1/2,z'
'-x+1/2,-y+1/2,-z'
'-x+1/2,y+1/2,-z+1/2'
'x+1/2,-y+1/2,z+1/2'
loop_
_atom_site_label
_atom_site_fract_x
_atom_site_fract_y
_atom_site_fract_z
Al1 0.0308 0.0530 0.1305
H1 0.0486 0.3273 0.6015
H2 0.0628 0.1861 0.1124
H3 0.0711 0.4778 0.6331
H4 0.0981 0.0525 0.5689
H5 0.1056 0.1568 0.8300
H6 0.1627 0.3779 0.7640
H7 0.2057 0.1968 0.3769
H8 0.2058 0.4027 0.4920
H9 0.2326 0.3819 0.1817
H10 0.2449 0.1055 0.9768
C1 0.1257 0.3943 0.6539
C2 0.1925 0.0945 0.8657
C3 0.2468 0.3898 0.6035
N1 0.1391 0.0250 0.3319
```

[15]
Entry from the Alexandria database: crystalline AlH10C3N at its relaxed geometry (GGA-PBE).

Results
M_tot (μB per atom): 0.000
Fermi-level density of states (states/eV per cell): 0.00
E_tot (eV per atom): -5.076

The structure in CIF format:
```
data_AlH10C3N
_space_group_name_H-M_alt 'P 1 21/c 1'
_space_group_IT_number 14
_cell_length_a 5.3545
_cell_length_b 10.3872
_cell_length_c 10.9567
_cell_angle_alpha 90.00
_cell_angle_beta 110.89
_cell_angle_gamma 90.00
loop_
_space_group_symop_operation_xyz
'x,y,z'
'-x,-y,-z'
'-x,y+1/2,-z+1/2'
'x,-y+1/2,z+1/2'
loop_
_atom_site_label
_atom_site_fract_x
_atom_site_fract_y
_atom_site_fract_z
Al1 0.2351 0.0526 0.4858
H1 0.0575 0.0508 0.1789
H2 0.1298 0.1285 0.7194
H3 0.1980 0.0422 0.9357
H4 0.1991 0.7323 0.2068
H5 0.2588 0.7218 0.0580
H6 0.2727 0.6141 0.3930
H7 0.2862 0.2040 0.5096
H8 0.3598 0.5344 0.8956
H9 0.4476 0.0544 0.7816
H10 0.4974 0.1633 0.2947
C1 0.1563 0.5265 0.3545
C2 0.2304 0.0346 0.7454
C3 0.2862 0.6715 0.1500
N1 0.1594 0.5428 0.1229
```

[16]
Entry from the Alexandria database: crystalline Al4HCN2 at its relaxed geometry (GGA-PBE).

Results
M_tot (μB per atom): 0.094
Fermi-level density of states (states/eV per cell): 8.14
E_tot (eV per atom): -5.999

The structure in CIF format:
```
data_Al4HCN2
_space_group_name_H-M_alt 'F m m 2'
_space_group_IT_number 42
_space_group_name_Hall 'F 2 -2'
_cell_length_a 6.1505
_cell_length_b 6.1808
_cell_length_c 9.7987
_cell_angle_alpha 90.00
_cell_angle_beta 90.00
_cell_angle_gamma 90.00
loop_
_atom_site_label
_atom_site_fract_x
_atom_site_fract_y
_atom_site_fract_z
Al1 0.0000 0.2354 0.0000
Al2 0.2405 0.0000 0.2749
H1 0.0000 0.0000 0.5622
C1 0.0000 0.0000 0.1384
N1 0.2500 0.2500 0.3879
```